Ac2Ho2Ge3: optimized geometry, PBE.

Output
ΔH_f (0 K)	-0.61	eV/atom
total energy	-35.5	eV for the cell shown

```
Ac2Ho2Ge3
1.0
4.662 0.000 0.000
-2.329 5.566 0.000
-0.022 -1.307 8.454
Ac Ho Ge
2 2 3
Direct
0.128 0.252 0.350
0.872 0.748 0.650
0.359 0.717 0.062
0.641 0.283 0.938
0.000 0.000 0.000
0.194 0.391 0.741
0.806 0.609 0.259
```



Ac2HoGe2: optimized geometry, PBE.

Output
energy above the most stable polymorph in this dataset	0.000	eV/atom
ΔH_f (0 K)	-0.69	eV/atom
total energy	-50.9	eV for the cell shown

```
Ac2HoGe2
1.0
7.940 0.000 0.000
0.000 7.940 0.000
0.000 0.000 4.747
Ac Ho Ge
4 2 4
Direct
0.176 0.324 0.000
0.324 0.824 0.000
0.676 0.176 0.000
0.824 0.676 0.000
0.000 0.000 0.500
0.500 0.500 0.500
0.122 0.622 0.500
0.378 0.122 0.500
0.622 0.878 0.500
0.878 0.378 0.500
```



Ac5HoGe4: optimized geometry, PBE.

Output
ΔH_f (0 K)	-0.51	eV/atom
total energy	-48.7	eV for the cell shown

```
Ac5HoGe4
1.0
10.421 -2.269 0.000
10.421 2.269 0.000
-3.287 0.000 7.606
Ac Ho Ge
5 1 4
Direct
0.000 0.000 0.000
0.338 0.338 0.588
0.339 0.339 0.087
0.661 0.661 0.913
0.662 0.662 0.412
0.000 0.000 0.500
0.195 0.195 0.696
0.500 0.500 0.271
0.500 0.500 0.729
0.805 0.805 0.304
```